Here is AcPuRh4 after structural relaxation from the Alexandria database. Energies are from GGA-PBE.

Calculated values
Formation energy, meV/atom: -488
Calculated volume, A^3/atom: 19.04
Crystal system: cubic
N(E_F), states/eV per cell: 14.9
Magnetic moment, μB/f.u.: 4.908

Cell: 5.447 5.447 5.447 Å, 60.00 60.00 60.00°
Element x y z (fractional)
Ac 0.000 0.000 0.000
Pu 0.750 0.750 0.750
Rh 0.376 0.376 0.376
Rh 0.376 0.376 0.873
Rh 0.376 0.873 0.376
Rh 0.873 0.376 0.376